No. 1
{"formula": "Al2CdCu", "functional": "PBE-GGA", "state": "optimized geometry", "lattice": [[-2.031, 2.031, 4.070], [2.031, -2.031, 4.070], [2.031, 2.031, -4.070]], "species": ["Al", "Al", "Cd", "Cu"], "frac_coords": [[0.000, 0.000, 0.000], [0.750, 0.250, 0.500], [0.250, 0.750, 0.500], [0.500, 0.500, 0.000]], "magnetic_moment_mub_per_atom": 0.00, "spacegroup": "I-4m2, No. 119", "e_form_mev_per_atom": 99}

=====

No. 2
{"formula": "NbTlBr2", "functional": "PBE-GGA", "state": "optimized geometry", "lattice": [[0.000, 3.609, 3.609], [3.609, 0.000, 3.609], [3.609, 3.609, 0.000]], "species": ["Nb", "Tl", "Br", "Br"], "frac_coords": [[0.000, 0.000, 0.000], [0.500, 0.500, 0.500], [0.250, 0.250, 0.250], [0.750, 0.750, 0.750]], "magnetic_moment_mub_per_atom": 0.00, "spacegroup": "Fm-3m, No. 225", "e_form_raw_ev_per_atom": 0.37, "de_polymorph_ev_per_fu": 2.943}

=====

No. 3
{"formula": "TlIn3", "functional": "PBE-GGA", "state": "optimized geometry", "lattice": [[5.545, -1.651, 0.000], [5.545, 1.651, 0.000], [-0.821, 0.000, 6.127]], "species": ["Tl", "In", "In", "In"], "frac_coords": [[0.000, 0.000, 0.000], [0.247, 0.247, 0.744], [0.500, 0.500, 0.500], [0.753, 0.753, 0.256]], "magnetic_moment_mub_per_atom": 0.00, "spacegroup": "C2/m, No. 12", "e_form_mev_per_atom": 16}

=====

No. 4
{"formula": "KCa2Te", "functional": "PBE-GGA", "state": "optimized geometry", "lattice": [[-5.093, 5.093, 3.617], [5.093, -5.093, 3.617], [5.093, 5.093, -3.617]], "species": ["K", "K", "Ca", "Ca", "Ca", "Ca", "Te", "Te"], "frac_coords": [[0.000, 0.000, 0.000], [0.750, 0.250, 0.500], [0.214, 0.125, 0.589], [0.375, 0.786, 0.911], [0.536, 0.625, 0.411], [0.875, 0.464, 0.089], [0.250, 0.750, 0.500], [0.500, 0.500, 0.000]], "magnetic_moment_mub_per_atom": 0.00, "spacegroup": "I-42d, No. 122", "e_form_raw_ev_per_atom": -0.49}